! CoSnSeO (GGA+U, optimized geometry); values from VASP
&SYSTEM
  ibrav = 0, nat = 16, ntyp = 4
/
ATOMIC_SPECIES
Co 58.93 Co.upf
Sn 118.71 Sn.upf
Se 78.96 Se.upf
O 16.00 O.upf
CELL_PARAMETERS angstrom
7.669 0.000 0.000
0.000 7.051 0.000
0.000 0.000 6.077
ATOMIC_POSITIONS angstrom
Co 0.748 1.118 0.000
Co 3.086 1.118 3.038
Co 4.583 5.933 0.000
Co 6.921 5.933 3.038
Sn 0.975 4.428 5.465
Sn 2.860 4.428 2.427
Sn 4.809 2.623 5.465
Sn 6.695 2.623 2.427
Se 0.735 0.767 3.662
Se 3.100 0.767 0.624
Se 4.570 6.284 3.662
Se 6.934 6.284 0.624
O 0.292 2.866 0.675
O 3.543 2.866 3.713
O 4.127 4.185 0.675
O 7.377 4.185 3.713
! Energy   -80.426 eV per cell
! Volume   328.6 Å³/cell
! Calculated density   5.510 g/cm³